7
Lattice="-3.285 3.285 2.649 3.285 -3.285 2.649 3.285 3.285 -2.649" Properties=species:S:1:pos:R:3 comment="ErGa4Re2 | the Open Quantum Materials Database | PBE | relaxed" vol_a3_per_fu=114.3 magmom_total_mub_per_cell=0.0 sg=I4/mmm total_energy_ev_per_atom=-6.120 pbc="T T T"
Er 0.000 0.000 0.000
Ga 2.006 2.006 0.000
Ga 1.279 -1.279 2.649
Ga -1.279 1.279 2.649
Ga 1.279 1.279 2.649
Re 3.285 0.000 1.324
Re 0.000 3.285 1.324